CsDyZn2Br8 after structural relaxation, computed with PBE.

Computed properties:
The total energy comes out at -3.136 eV per atom. The calculation puts the uncorrected formation energy at -16.25 eV per formula unit.

Lattice parameters (Å, degrees): 6.8975 6.8975 11.3224 72.27 72.27 60.00
Last column: nearest neighbours and their distance in Å.
Atoms (fractional coordinates):
Cs 0.5000 0.5000 0.5000  12 Br 4.01-4.30
Dy 0.0000 0.0000 0.0000  6 Br 2.82
Zn 0.2550 0.2550 0.2351  4 Br 2.36-2.48
Zn 0.7450 0.7450 0.7649  4 Br 2.36-2.48
Br 0.1809 0.1809 0.4573  1 Zn 2.36
Br 0.6193 0.2822 0.1559  1 Zn 2.48
Br 0.8191 0.8191 0.5427  1 Zn 2.36
Br 0.9427 0.6193 0.1559  1 Zn 2.48
Br 0.0573 0.3807 0.8441  1 Zn 2.48
Br 0.2822 0.9427 0.1559  1 Zn 2.48
Br 0.7178 0.0573 0.8441  1 Zn 2.48
Br 0.3807 0.7178 0.8441  1 Zn 2.48

=====

Cs2ErBr5 after structural relaxation, computed with PBE.

Computed properties:
The total energy comes out at -3.714 eV per atom. The calculation puts the uncorrected formation energy at -15.07 eV per formula unit.

Lattice parameters (Å, degrees): 7.9023 10.2187 16.2117 90.00 90.00 90.00
Last column: nearest neighbours and their distance in Å.
Atoms (fractional coordinates):
Cs 0.7500 0.5326 0.2935  10 Br 3.70-4.00
Cs 0.2500 0.4674 0.7065  10 Br 3.70-4.00
Cs 0.2500 0.9674 0.7935  10 Br 3.70-4.00
Cs 0.7500 0.0326 0.2065  10 Br 3.70-4.00
Cs 0.7500 0.8292 0.5853  10 Br 3.76-4.14
Cs 0.2500 0.1708 0.4147  10 Br 3.76-4.14
Cs 0.2500 0.6708 0.0853  10 Br 3.76-4.14
Cs 0.7500 0.3292 0.9147  10 Br 3.76-4.14
Er 0.7500 0.8179 0.9369  6 Br 2.71-2.90
Er 0.2500 0.1821 0.0631  6 Br 2.71-2.90
Er 0.2500 0.6821 0.4369  6 Br 2.71-2.90
Er 0.7500 0.3179 0.5631  6 Br 2.71-2.90
Br 0.7500 0.7144 0.0962  1 Er 2.79
Br 0.2500 0.2856 0.9038  1 Er 2.79
Br 0.2500 0.7856 0.5962  1 Er 2.79
Br 0.7500 0.2144 0.4038  1 Er 2.79
Br 0.4960 0.6608 0.8844  1 Er 2.71
Br 0.5040 0.3392 0.1156  1 Er 2.71
Br 0.5040 0.8392 0.3844  1 Er 2.71
Br 0.9960 0.3392 0.1156  1 Er 2.71
Br 0.4960 0.1608 0.6156  1 Er 2.71
Br 0.0040 0.6608 0.8844  1 Er 2.71
Br 0.0040 0.1608 0.6156  1 Er 2.71
Br 0.9960 0.8392 0.3844  1 Er 2.71
Br 0.5000 0.0000 0.0000  2 Er 2.90
Br 0.5000 0.5000 0.5000  2 Er 2.90
Br 0.0000 0.0000 0.0000  2 Er 2.90
Br 0.0000 0.5000 0.5000  2 Er 2.90
Br 0.7500 0.9731 0.7988  1 Er 2.74
Br 0.2500 0.0269 0.2012  1 Er 2.74
Br 0.2500 0.5269 0.2988  1 Er 2.74
Br 0.7500 0.4731 0.7012  1 Er 2.74

=====

Cs5Er2Br12 after structural relaxation, computed with PBE.

Computed properties:
The total energy comes out at -3.465 eV per atom. The calculation puts the uncorrected formation energy at -32.36 eV per formula unit.

Lattice parameters (Å, degrees): 8.2778 10.7739 11.8721 106.16 90.00 112.59
Last column: nearest neighbours and their distance in Å.
Atoms (fractional coordinates):
Cs 0.3006 0.6012 0.6456  7 Br 3.63-3.91
Cs 0.3050 0.6100 0.1538  7 Br 3.58-3.86
Cs 0.0000 0.0000 0.5000  6 Br 3.61-4.00
Cs 0.6950 0.3900 0.8462  7 Br 3.58-3.86
Cs 0.6994 0.3988 0.3544  7 Br 3.63-3.91
Er 0.7514 0.0000 0.0000  6 Br 2.73-2.85
Er 0.2486 0.0000 0.0000  6 Br 2.73-2.85
Br 0.0007 0.0014 0.1633  2 Er 2.82
Br 0.1092 0.7122 0.9290  1 Er 2.73
Br 0.6029 0.7122 0.9290  1 Er 2.73
Br 0.1249 0.7030 0.4228  4 Cs 3.58-3.67, 1 Br 3.75
Br 0.5781 0.7030 0.4228  4 Cs 3.58-3.67, 1 Br 3.75
Br 0.4990 0.9980 0.8358  2 Er 2.85
Br 0.5010 0.0020 0.1642  2 Er 2.85
Br 0.8751 0.2970 0.5772  4 Cs 3.58-3.67, 1 Br 3.75
Br 0.4219 0.2970 0.5772  4 Cs 3.58-3.67, 1 Br 3.75
Br 0.8908 0.2878 0.0710  1 Er 2.73
Br 0.3971 0.2878 0.0710  1 Er 2.73
Br 0.9993 0.9986 0.8367  2 Er 2.82